1.
! KGe2BiO6, relaxed, DFT PBE; values from VASP
! **ΔE_f (raw)**: -1.57 eV per atom
&SYSTEM
  ibrav = 0, nat = 20, ntyp = 4
/
ATOMIC_SPECIES
O 16.00 O.upf
Ge 72.64 Ge.upf
Bi 208.98 Bi.upf
K 39.10 K.upf
CELL_PARAMETERS angstrom
5.515 -0.324 -0.336
1.385 7.476 0.056
1.385 -0.222 7.473
ATOMIC_POSITIONS crystal
O 0.860 0.407 0.833
O 0.360 0.833 0.407
O 0.640 0.167 0.593
O 0.948 0.727 0.640
O 0.695 0.753 0.009
O 0.052 0.273 0.360
O 0.448 0.640 0.727
O 0.140 0.593 0.167
O 0.305 0.247 0.991
O 0.805 0.991 0.247
O 0.195 0.009 0.753
O 0.552 0.360 0.273
Ge 0.754 0.188 0.374
Ge 0.246 0.812 0.626
Ge 0.254 0.374 0.188
Ge 0.746 0.626 0.812
Bi 0.250 0.290 0.710
Bi 0.750 0.710 0.290
K 0.750 0.089 0.911
K 0.250 0.911 0.089


2.
! KLa4, relaxed, DFT PBE; values from VASP
! **ΔH_f (0 K)**: 0.885 eV/atom
&SYSTEM
  ibrav = 0, nat = 5, ntyp = 2
/
ATOMIC_SPECIES
La 138.91 La.upf
K 39.10 K.upf
CELL_PARAMETERS angstrom
-1.532 5.092 2.490
-5.387 -0.506 -2.281
-1.763 -2.880 4.804
ATOMIC_POSITIONS crystal
La 0.000 0.500 0.500
La 0.500 0.000 0.500
La 0.000 0.000 0.000
La 0.500 0.500 0.000
K 0.500 0.500 0.500


3.
! MgGaFeCo, relaxed, DFT PBE; values from VASP
! **ΔH_f (0 K)**: 0.010 eV/atom
&SYSTEM
  ibrav = 0, nat = 4, ntyp = 4
/
ATOMIC_SPECIES
Fe 55.84 Fe.upf
Mg 24.30 Mg.upf
Ga 69.72 Ga.upf
Co 58.93 Co.upf
CELL_PARAMETERS angstrom
-1.072 3.922 1.208
-4.081 1.000 0.577
-1.483 0.682 3.915
ATOMIC_POSITIONS crystal
Fe 0.000 0.000 0.000
Mg 0.500 0.500 0.500
Ga 0.250 0.250 0.250
Co 0.750 0.750 0.750


4.
! DyNi3B2, relaxed, DFT PBE; values from VASP
! **ΔH_f (0 K)**: -0.394 eV/atom
&SYSTEM
  ibrav = 0, nat = 18, ntyp = 3
/
ATOMIC_SPECIES
B 10.81 B.upf
Ni 58.69 Ni.upf
Dy 162.50 Dy.upf
CELL_PARAMETERS angstrom
-2.062 -2.554 -0.392
3.419 -1.606 -7.523
3.159 -3.611 6.916
ATOMIC_POSITIONS crystal
B 0.500 0.189 0.811
B 0.500 0.811 0.623
B 0.500 0.811 0.189
B 0.500 0.189 0.377
B 0.500 0.623 0.811
B 0.500 0.377 0.189
Ni 0.000 0.286 0.000
Ni 0.000 0.000 0.714
Ni 0.000 0.714 0.000
Ni 0.500 0.500 0.000
Ni 0.500 0.000 0.500
Ni 0.000 0.714 0.714
Ni 0.000 0.286 0.286
Ni 0.000 0.000 0.286
Ni 0.500 0.500 0.500
Dy 0.500 0.000 0.000
Dy 0.000 0.333 0.667
Dy 0.000 0.667 0.333


Values of DOS(E_F), in order: 0.00, 1.87, 0.55, 0.53, all in states/eV/atom.
Values of DFT total energy, in order: -5.962, -3.276, -5.038, -6.278, all in eV/atom.